A plane-wave DFT calculation with PBE-GGA was carried out for DyErTe after structural relaxation.

It has space group F-43m (No. 216), with a = 7.1137 Å, b = 7.1137 Å, c = 7.1137 Å, α = 90.00°, β = 90.00° and γ = 90.00°. Symmetry generates all atoms from Dy at (0.0000, 0.0000, 0.0000), Er at (0.0000, 0.0000, 0.5000) and Te at (0.2500, 0.2500, 0.2500).

***

A plane-wave DFT calculation with PBE-GGA was carried out for TaAlNiHg after structural relaxation.

It has space group F-43m (No. 216), with a = 6.3988 Å, b = 6.3988 Å, c = 6.3988 Å, α = 90.00°, β = 90.00° and γ = 90.00°. Symmetry generates all atoms from Ta at (0.0000, 0.0000, 0.0000), Al at (0.2500, 0.2500, 0.2500), Ni at (0.0000, 0.0000, 0.5000) and Hg at (0.2500, 0.2500, 0.7500).

***

Quick rundown of energy above the lowest structure with this stoichiometry, same order as above: 0.0, 5.6 kJ per mole of atoms
Quick rundown of calculated total energy, same order as above: -4.537, -5.066 eV per atom